Entry from OQMD via LeMat-Bulk: a relaxed structure of LiAgTe2WS (PBE).

Cell and atoms, written as extended XYZ:
```
12
Lattice="5.3291 -0.8364 5.0783 -5.6730 3.7500 -2.9400 -6.2417 -4.9459 5.7353" Properties=species:S:1:pos:R:3 pbc="T T T"
Ag 3.2768 -1.8678 6.1537
Ag -9.8623 -0.1645 1.7200
Te -10.1384 -1.7666 3.8585
Te -7.2984 0.4839 1.2489
Te 0.7129 -2.5162 6.6248
Te 3.5529 -0.2657 4.0152
Li -4.6111 1.4204 0.4050
Li -1.9744 -3.4527 7.4687
S -5.6788 -1.9085 4.7689
S -0.9067 -0.1239 3.1047
W -0.1719 1.4568 1.0692
W -3.2928 -1.0162 3.9368
```

Computed properties:
The uncorrected energy is -4.6772 eV/atom.



Entry from OQMD via LeMat-Bulk: a relaxed structure of NdInNi (PBE).

Cell and atoms, written as extended XYZ:
```
9
Lattice="7.0102 0.0000 0.0000 -3.5051 6.0710 0.0000 0.0000 0.0000 4.6774" Properties=species:S:1:pos:R:3 pbc="T T T"
In 3.5051 2.0237 0.0000
In 0.0000 0.0000 2.3387
In 0.0000 4.0473 0.0000
Nd 1.5697 2.7187 2.3387
Nd 3.8709 0.0000 2.3387
Nd -1.9354 3.3523 2.3387
Ni 1.5374 0.0000 0.0000
Ni -0.7687 1.3314 0.0000
Ni 2.7364 4.7396 0.0000
```

Computed properties:
The uncorrected energy is -4.5713 eV/atom.



Entry from OQMD via LeMat-Bulk: a relaxed structure of RbAgNO (PBE).

Cell and atoms, written as extended XYZ:
```
16
Lattice="5.9901 0.0000 0.0000 0.0000 6.5184 0.0000 0.0000 0.0000 7.9629" Properties=species:S:1:pos:R:3 pbc="T T T"
N 2.9483 6.3812 1.2598
N 5.9433 3.3964 1.2598
N 5.9433 0.1372 6.7032
N 2.9483 3.1220 6.7032
O 4.1489 4.2824 4.0569
O 1.1538 5.4951 4.0569
O 4.1489 1.0232 3.9061
O 1.1538 2.2360 3.9061
Ag 0.0695 0.6604 4.8694
Ag 0.0695 3.9196 3.0935
Ag 3.0645 2.5988 4.8694
Ag 3.0645 5.8580 3.0935
Rb 3.0309 2.8158 1.4957
Rb 0.0359 0.4434 1.4957
Rb 0.0359 3.7026 6.4672
Rb 3.0309 6.0750 6.4672
```

Computed properties:
For the energy above the lowest structure with this stoichiometry, the calculation gives 182 meV/atom.



Entry from OQMD via LeMat-Bulk: a relaxed structure of K2MgH6Ir (PBE).

Cell and atoms, written as extended XYZ:
```
40
Lattice="-3.3245 -9.4960 3.8559 4.0882 -4.7207 -8.1009 4.5064 -0.2469 2.4181" Properties=species:S:1:pos:R:3 pbc="T T T"
H 1.4274 -9.6747 2.3548
H 2.9336 -12.1381 -2.0710
H 5.7536 -4.4144 -2.0109
H 3.4301 -10.5390 -3.8775
H -1.9579 -8.9682 1.9478
H 0.3774 -8.5648 4.1518
H 3.0074 -8.0575 2.0566
H 1.2140 -9.9776 -4.1266
H 3.8841 -6.2849 -1.9997
H 0.8934 -5.3099 -1.7475
H 0.8740 -7.1067 2.2210
H 5.1031 -7.2075 -3.8382
H 1.5605 -12.4093 -3.8664
H 6.1004 -6.8464 -1.7509
H 4.3806 -4.6860 -3.8065
H 0.2187 -4.0457 0.1667
H 5.1838 -3.1350 0.2759
H 6.5863 -5.4786 -3.9442
H 2.8486 -3.5383 -1.9285
H 0.7279 -11.3453 -1.9330
H 2.2110 -9.6161 -2.0390
H 2.3326 -6.7934 3.9710
H 2.3520 -4.9964 0.0028
H 1.7987 -2.4287 -0.1313
Mg -0.9306 -7.5434 2.8726
Mg 4.1565 -4.5598 -0.6490
Mg 2.5704 -5.2066 -3.1798
Mg 4.7438 -11.6174 -2.6976
K 4.2295 -8.5246 -0.8864
K 3.8031 -1.3961 1.1963
K -0.5771 -10.7070 1.0273
K 1.0070 -7.2820 -0.1748
K 2.2187 -4.8215 2.3986
K 4.6653 -4.8700 -6.1861
K 3.0846 -8.2996 -4.9910
K 2.6489 -11.9538 0.3086
Ir 1.7566 -8.2275 3.1920
Ir 1.4691 -3.8755 -0.9679
Ir 5.2986 -5.8191 -2.8823
Ir 2.0159 -11.0052 -2.9956
```

Computed properties:
The uncorrected energy is -3.5300 eV/atom.



Entry from OQMD via LeMat-Bulk: a relaxed structure of Y2Nb4Ge3C3 (PBE).

Cell and atoms, written as extended XYZ:
```
24
Lattice="2.0765 2.4996 -4.6677 -2.6039 4.5536 -2.1983 7.9077 5.6923 10.2533" Properties=species:S:1:pos:R:3 pbc="T T T"
Y 1.0329 3.7289 -2.1940
Y 3.1469 5.8398 0.0572
Y 4.2334 6.9057 3.3301
Y 6.3475 9.0165 5.5813
Ge 0.8952 6.9585 -2.1169
Ge 6.2652 9.1831 2.2626
Ge 7.7139 6.8976 3.1770
Ge -0.3336 5.8479 0.2103
Ge 6.4852 5.7870 5.5042
Ge 1.1152 3.5623 1.1247
Nb 6.7767 6.9792 8.0517
Nb 3.5492 3.8143 2.5418
Nb 6.3493 11.6795 3.5524
Nb 4.1006 4.3001 5.4281
Nb 3.8312 8.9312 0.8455
Nb 3.2797 8.4453 -2.0408
Nb 0.6037 5.7662 -4.6644
Nb 1.0310 1.0660 -0.1651
C 4.9482 5.2302 1.6483
C 2.4321 7.5153 1.7390
C 1.0383 1.2498 -2.3339
C 0.9031 3.6051 -4.6670
C -1.4304 3.4481 -2.1990
C 2.6519 5.1229 4.0275
```

Computed properties:
The uncorrected energy is -8.4647 eV/atom.



Entry from OQMD via LeMat-Bulk: a relaxed structure of Al5W7 (PBE).

Cell and atoms, written as extended XYZ:
```
24
Lattice="-1.2725 4.4205 -2.4776 -3.6863 -2.7747 2.4518 2.8695 8.8713 14.3540" Properties=species:S:1:pos:R:3 pbc="T T T"
Al 1.7414 5.3836 8.7108
Al -0.4084 3.0483 8.4029
Al -1.8431 -1.3873 1.2259
Al 0.7985 6.6459 5.9382
Al -0.6362 2.2102 -1.2388
Al 2.5629 7.9234 12.8202
Al 0.3066 0.9479 1.5338
Al -2.4794 0.8229 -0.0129
Al 1.1281 3.4877 5.6432
Al -1.0446 5.2586 7.1641
W -1.7936 2.9877 6.2516
W -2.5750 0.6171 5.2360
W -1.1287 4.9540 3.9094
W -3.2247 2.8739 3.9711
W -1.3961 8.4835 10.3438
W -0.6932 2.0336 3.9843
W 0.4458 9.8217 11.7855
W 1.1354 7.6433 10.3570
W -1.5907 3.5259 1.5986
W 0.4858 9.9000 9.0921
W -0.4986 6.9913 12.7295
W -0.9605 5.5631 10.4187
W -2.5350 0.6954 2.5426
W -0.2957 7.5294 8.0765
```

Computed properties:
For the energy above the lowest structure with this stoichiometry, the calculation gives 0 meV/atom.



Entry from OQMD via LeMat-Bulk: a relaxed structure of Lu3ScCd2C2 (PBE).

Cell and atoms, written as extended XYZ:
```
8
Lattice="-2.8570 1.9177 -0.1103 0.7982 -1.7363 2.8636 8.2537 12.6039 5.3414" Properties=species:S:1:pos:R:3 pbc="T T T"
Lu 3.4434 5.2583 2.2284
Lu 4.3875 6.8234 4.9836
Lu 7.1796 11.0871 6.7906
C -1.6007 0.7576 0.9055
C 2.4840 6.9952 3.5490
Cd 6.2052 9.4758 4.0158
Cd 1.6011 2.5683 3.1804
Sc 0.6500 0.9926 0.4206
```

Computed properties:
The uncorrected energy is -5.3909 eV/atom.



Entry from OQMD via LeMat-Bulk: a relaxed structure of ZrS4Br4F2 (PBE).

Cell and atoms, written as extended XYZ:
```
11
Lattice="7.1349 0.0000 0.0000 3.5592 6.3663 0.0000 3.4972 -1.1218 6.5065" Properties=species:S:1:pos:R:3 pbc="T T T"
S 3.0074 1.7703 2.2114
S 9.4157 3.3664 3.2764
S 11.1839 3.4741 4.2950
S 4.7757 1.8781 3.2300
F 9.5979 -0.2605 5.0537
F 4.5935 5.5050 1.4528
Br 6.8249 2.8339 5.3571
Br 5.7749 -0.6642 5.1577
Br 7.3664 2.4106 1.1493
Br 8.4164 5.9087 1.3488
Zr 0.0000 0.0000 0.0000
```

Computed properties:
The uncorrected energy is -4.2932 eV/atom.



Entry from OQMD via LeMat-Bulk: a relaxed structure of Mg2ZrHg (PBE).

Cell and atoms, written as extended XYZ:
```
4
Lattice="-4.1122 -2.3433 1.3467 -2.3729 1.3502 4.0940 -4.3481 2.2823 -0.3155" Properties=species:S:1:pos:R:3 pbc="T T T"
Hg -5.4166 0.6446 2.5626
Zr -8.1249 0.9670 3.8439
Mg 0.0000 0.0000 0.0000
Mg -2.7083 0.3223 1.2813
```

Computed properties:
The uncorrected energy is -3.0145 eV/atom.



Entry from OQMD via LeMat-Bulk: a relaxed structure of PrScAg (PBE).

Cell and atoms, written as extended XYZ:
```
3
Lattice="0.0000 3.4238 3.4238 3.4238 0.0000 3.4238 3.4238 3.4238 0.0000" Properties=species:S:1:pos:R:3 pbc="T T T"
Ag 1.7119 1.7119 1.7119
Sc 0.0000 0.0000 0.0000
Pr 5.1357 5.1357 5.1357
```

Computed properties:
As for the formation energy: 0.41 eV/atom. For the energy above the lowest structure with this stoichiometry, the calculation gives 0 meV/atom.



Entry from OQMD via LeMat-Bulk: a relaxed structure of Ho2HfN3 (PBE).

Cell and atoms, written as extended XYZ:
```
6
Lattice="3.3299 0.0000 0.0000 -1.6650 2.8838 0.0000 0.0000 0.0000 8.2462" Properties=species:S:1:pos:R:3 pbc="T T T"
Hf 0.0000 0.0000 4.1231
N 1.6649 0.9613 5.3513
N 0.0000 1.9225 2.8949
N 0.0000 0.0000 0.0000
Ho 1.6649 0.9613 1.3910
Ho 0.0000 1.9225 6.8551
```

Computed properties:
The uncorrected energy is -9.1386 eV/atom.



Entry from OQMD via LeMat-Bulk: a relaxed structure of AcPm2O4 (PBE).

Cell and atoms, written as extended XYZ:
```
14
Lattice="-2.7992 6.5354 -0.7795 -4.0181 -5.3262 2.5769 4.8783 -1.2164 5.0869" Properties=species:S:1:pos:R:3 pbc="T T T"
Pm -0.5573 2.1439 3.5611
Pm 0.8423 -1.1238 3.9508
Pm -2.9964 2.7521 1.0176
Pm -1.1667 -3.7869 5.2392
O -2.7350 1.3572 2.9474
O 1.6205 2.9307 4.1748
O 2.8631 0.0290 4.5217
O -0.1629 0.5657 5.3195
O -1.1784 -2.2766 3.3799
O 0.9870 -2.8173 5.6388
O 0.6977 0.5698 2.2628
O -0.9516 3.7221 1.8027
Ac -3.1936 -1.0311 2.8147
Ac 0.0000 0.0000 0.0000
```

Computed properties:
The uncorrected energy is -7.9034 eV/atom.



Entry from OQMD via LeMat-Bulk: a relaxed structure of CsErIr (PBE).

Cell and atoms, written as extended XYZ:
```
3
Lattice="2.5144 1.4517 4.1060 -2.5144 1.4517 4.1060 0.0000 -2.9034 4.1060" Properties=species:S:1:pos:R:3 pbc="T T T"
Ir 0.0000 0.0000 0.0000
Cs 0.0000 0.0000 9.2385
Er 0.0000 0.0000 3.0795
```

Computed properties:
For the energy above the lowest structure with this stoichiometry, the calculation gives 0 meV/atom.



Entry from OQMD via LeMat-Bulk: a relaxed structure of HoTmTl2Pt4 (PBE).

Cell and atoms, written as extended XYZ:
```
8
Lattice="-2.0491 -0.4039 -4.1326 0.3311 -3.6808 2.7896 -7.8315 2.0841 3.6795" Properties=species:S:1:pos:R:3 pbc="T T T"
Pt -1.2269 0.3265 0.5764
Pt -6.6046 1.7576 3.1030
Pt -3.1680 -1.8685 1.7534
Pt -5.5881 -1.2245 2.8905
Tl -3.2187 -0.9738 -0.9029
Tl -7.1242 0.0655 0.9320
Ho -0.4623 -2.5885 0.4822
Tm -3.9157 1.0420 1.8397
```

Computed properties:
The uncorrected energy is -5.4986 eV/atom.



Entry from OQMD via LeMat-Bulk: a relaxed structure of HoHgTe3Au (PBE).

Cell and atoms, written as extended XYZ:
```
12
Lattice="2.0340 -7.7012 0.0000 2.0340 7.7012 0.0000 0.0000 0.0000 10.8912" Properties=species:S:1:pos:R:3 pbc="T T T"
Ho 0.0000 0.0000 5.4456
Ho 0.0000 0.0000 0.0000
Te 2.0340 2.2030 4.7812
Te 2.0340 2.2030 0.6644
Te 2.0340 -2.2030 6.1101
Te 2.0340 -6.1521 8.1684
Te 2.0340 6.1521 2.7228
Te 2.0340 -2.2030 10.2268
Hg 2.0340 -3.9792 2.7228
Hg 2.0340 3.9792 8.1684
Au 2.0340 -0.3738 8.1684
Au 2.0340 0.3738 2.7228
```

Computed properties:
The uncorrected energy is -3.4688 eV/atom.



Entry from OQMD via LeMat-Bulk: a relaxed structure of NaIr2O6 (PBE).

Cell and atoms, written as extended XYZ:
```
9
Lattice="5.2780 0.0000 0.0000 -2.6390 4.5709 0.0000 0.0000 0.0000 4.5989" Properties=species:S:1:pos:R:3 pbc="T T T"
O 3.2613 0.0000 1.2593
O -1.0083 1.7465 3.3396
O 2.0167 0.0000 3.3396
O 1.0083 1.7465 1.2593
O -1.6307 2.8244 1.2593
O 1.6307 2.8244 3.3396
Ir 2.6390 1.5236 2.2995
Ir 0.0000 3.0473 2.2995
Na 0.0000 0.0000 0.0000
```

Computed properties:
The uncorrected energy is -6.2611 eV/atom.



Entry from OQMD via LeMat-Bulk: a relaxed structure of Er3HgC (PBE).

Cell and atoms, written as extended XYZ:
```
5
Lattice="4.8439 0.0000 0.0000 0.0000 4.8439 0.0000 0.0000 0.0000 4.8439" Properties=species:S:1:pos:R:3 pbc="T T T"
Er 0.0000 2.4219 0.0000
Er 2.4219 0.0000 0.0000
Er 0.0000 0.0000 2.4219
Hg 2.4219 2.4219 2.4219
C 0.0000 0.0000 0.0000
```

Computed properties:
The uncorrected energy is -5.0483 eV/atom.



Entry from OQMD via LeMat-Bulk: a relaxed structure of YCoAsW (PBE).

Cell and atoms, written as extended XYZ:
```
4
Lattice="0.0000 3.2018 3.2018 3.2018 0.0000 3.2018 3.2018 3.2018 0.0000" Properties=species:S:1:pos:R:3 pbc="T T T"
W 1.6009 1.6009 1.6009
Y 3.2018 3.2018 3.2018
Co 4.8026 4.8026 4.8026
As 0.0000 0.0000 0.0000
```

Computed properties:
For the energy above the lowest structure with this stoichiometry, the calculation gives 0 meV/atom.



Entry from OQMD via LeMat-Bulk: a relaxed structure of FeSnBi2 (PBE).

Cell and atoms, written as extended XYZ:
```
4
Lattice="2.5740 -2.6196 -3.8086 1.9012 -4.8465 0.9434 -2.2379 -4.2117 -2.2905" Properties=species:S:1:pos:R:3 pbc="T T T"
Bi 0.0000 0.0000 0.0000
Bi 1.6780 -8.7584 -3.8669
Fe 0.5593 -2.9195 -1.2890
Sn 1.1187 -5.8389 -2.5779
```

Computed properties:
The uncorrected energy is -4.5347 eV/atom.



Entry from OQMD via LeMat-Bulk: a relaxed structure of Ho2ErTmGa2 (PBE).

Cell and atoms, written as extended XYZ:
```
6
Lattice="5.1209 0.0000 0.0000 -2.5605 4.4349 0.0000 0.0000 0.0000 6.5388" Properties=species:S:1:pos:R:3 pbc="T T T"
Ho 0.0000 2.9566 4.8996
Ho 0.0000 2.9566 1.6392
Tm 2.5605 1.4783 3.2694
Ga 0.0000 0.0000 3.2694
Ga 2.5605 1.4783 0.0000
Er 0.0000 0.0000 0.0000
```

Computed properties:
The uncorrected energy is -4.4362 eV/atom.



Entry from OQMD via LeMat-Bulk: a relaxed structure of CsHoTe3Pd (PBE).

Cell and atoms, written as extended XYZ:
```
12
Lattice="-2.8847 7.6517 5.0750 1.9647 -4.6176 -8.2123 -9.5466 -3.3238 -0.4150" Properties=species:S:1:pos:R:3 pbc="T T T"
Pd -2.8716 0.7492 -1.6040
Pd -7.5949 -1.0390 -1.9483
Te -0.7590 -0.0619 -3.0079
Te -6.5570 0.8690 -0.4075
Te -9.6013 4.0372 3.5490
Te -9.7076 -0.2279 -0.5445
Te -3.9095 -1.1588 -3.1449
Te -0.8652 -4.3269 -7.1014
Cs -6.3969 -4.0702 -5.2310
Cs -4.0697 3.7804 1.6787
Ho 0.0000 0.0000 0.0000
Ho -4.7733 -1.6619 -0.2075
```

Computed properties:
For the energy above the lowest structure with this stoichiometry, the calculation gives 0 meV/atom.